## Tb5CoCu4 (PBE)

Data for an optimized crystal structure of Tb5CoCu4.

Unit cell a=3.4374 b=3.4374 c=17.5565 alpha=90.00 beta=90.00 gamma=90.00
With the nearest neighbours (Å) after each atom.
Atoms (fractional coordinates):
Tb: 0.5000 0.5000 0.0943  4 Co 2.94, 4 Cu 3.03
Tb: 0.5000 0.5000 0.2976  8 Cu 3.00-3.02
Tb: 0.5000 0.5000 0.5000  8 Cu 3.00
Tb: 0.5000 0.5000 0.7024  8 Cu 3.00-3.02
Tb: 0.5000 0.5000 0.9057  4 Co 2.94, 4 Cu 3.03
Co: 0.0000 0.0000 0.0000  8 Tb 2.94
Cu: 0.0000 0.0000 0.1973  8 Tb 3.00-3.03
Cu: 0.0000 0.0000 0.3995  8 Tb 3.00-3.02
Cu: 0.0000 0.0000 0.6005  8 Tb 3.00-3.02
Cu: 0.0000 0.0000 0.8027  8 Tb 3.00-3.03

Output
SG   P4/mmm, No. 123
ρ   8.87 g/cm3
Energy relative to the elements   -214 meV/atom